# 1
The following is a PBE calculation of MnNiPtW after structural relaxation, from Alexandria via LeMat-Bulk.

- E_tot: -8.5062 eV/atom
- Density of states at the Fermi level: 1.096 states/eV/atom
- Volume: 217 Å³ per cell
- ΔH_f (0 K): -8 kJ/mol of formula units
- Crystal system: cubic
- Spin magnetization: 1.9 μB/f.u.

Cell and atoms, written as CIF:
```
data_MnNiPtW
_cell_length_a 6.009
_cell_length_b 6.009
_cell_length_c 6.009
_cell_angle_alpha 90.00
_cell_angle_beta 90.00
_cell_angle_gamma 90.00
_symmetry_space_group_name_H-M 'F -4 3 m'
_symmetry_Int_Tables_number 216
_symmetry_space_group_name_Hall 'F -4 2 3'
loop_
_atom_site_label
_atom_site_fract_x
_atom_site_fract_y
_atom_site_fract_z
Mn1 0.000 0.000 0.000
Ni1 0.000 0.000 0.500
Pt1 0.250 0.250 0.250
W1 0.250 0.250 0.750
```

# 2
The following is a PBE calculation of PuMn2Ni9 after structural relaxation, from Alexandria via LeMat-Bulk.

- E_tot: -7.1321 eV/atom
- Density of states at the Fermi level: 1.919 states/eV/atom
- Volume: 466 Å³ per cell
- ΔH_f (0 K): -85 kJ/mol of formula units
- Crystal system: trigonal
- Spin magnetization: 15.9 μB/f.u.

Cell and atoms, written as CIF:
```
data_PuMn2Ni9
_cell_length_a 4.7940
_cell_length_b 4.7940
_cell_length_c 23.4026
_cell_angle_alpha 90.00
_cell_angle_beta 90.00
_cell_angle_gamma 120.00
_symmetry_space_group_name_H-M 'R -3 m'
_symmetry_Int_Tables_number 166
_symmetry_space_group_name_Hall '-R 3 2"'
loop_
_atom_site_label
_atom_site_fract_x
_atom_site_fract_y
_atom_site_fract_z
Pu1 0.0000 0.0000 0.0000
Mn1 0.0000 0.0000 0.1454
Ni1 0.0000 0.0000 0.3341
Ni2 0.0000 0.0000 0.5000
Ni3 0.0050 0.5025 0.9133
```